DFT (PBE) results for PmAlGa after structural relaxation.

Geometry as POSCAR:
```
PmAlGa
1.0
0.000 3.293 3.293
3.293 0.000 3.293
3.293 3.293 0.000
Pm Al Ga
1 1 1
direct
0.000 0.000 0.000
0.500 0.500 0.500
0.750 0.750 0.750
```

Computed properties:
magnetization	0.0000	μB/atom
polymorph energy (0 for the lowest one)	236.4	meV per atom
E	-0.3089	Ry per atom